Compound: KCdTe2
Source: the Alexandria database
Functional: GGA-PBE
Structure: relaxed

a b c (Å): 6.137 6.137 6.137
angles (deg): 132.50 132.50 69.44
Element x y z (fractional)
K 0.000 0.000 0.000
Cd 0.500 0.500 0.000
Te 0.250 0.750 0.500
Te 0.750 0.250 0.500

Values from the calculation:
**Uncorrected energy**: -2.328 eV/atom
**Calculated density**: 5.5 g/cm³
**Calculated volume**: 30.81 Å³ per atom
**Energy relative to the elements, uncorrected**: -0.254 eV/atom
**DOS at the Fermi energy**: 2.01 states/eV per cell

=====

Compound: K2Cd2Te3
Source: the Alexandria database
Functional: GGA-PBE
Structure: relaxed

a b c (Å): 8.422 8.422 8.499
angles (deg): 119.82 119.82 32.55
Element x y z (fractional)
K 0.089 0.089 0.334
K 0.911 0.911 0.666
Cd 0.310 0.310 0.189
Cd 0.690 0.690 0.811
Te 0.303 0.303 0.837
Te 0.500 0.500 0.500
Te 0.697 0.697 0.163

Values from the calculation:
**Uncorrected energy**: -2.638 eV/atom
**Calculated density**: 4.1 g/cm³
**Calculated volume**: 39.63 Å³ per atom
**Excess energy over the best structure of this formula in the dataset**: 38 meV per atom
**Energy relative to the elements, uncorrected**: -0.716 eV/atom

=====

Compound: KCdTe2
Source: the Alexandria database
Functional: GGA-PBE
Structure: relaxed

a b c (Å): 7.016 7.016 6.080
angles (deg): 90.74 90.74 26.60
Element x y z (fractional)
K 0.000 0.000 0.000
Cd 0.732 0.732 0.569
Te 0.265 0.265 0.007
Te 0.523 0.523 0.500

Values from the calculation:
**Uncorrected energy**: -2.485 eV/atom
**Calculated density**: 5.0 g/cm³
**Calculated volume**: 33.49 Å³ per atom
**Energy relative to the elements, uncorrected**: -0.411 eV/atom
**DOS at the Fermi energy**: 0.53 states/eV per cell